Run i
Compound: BaSiSbTe2
Source: Alexandria
Functional: PBE
Structure: optimized geometry

SG = No. 123

a = 5.5517 Å, b = 5.5517 Å, c = 5.2784 Å
α = 90.00°, β = 90.00°, γ = 90.00°
Fractional positions:
Ba (0.0000, 0.0000, 0.0000)
Si (0.5000, 0.5000, 0.5000)
Sb (0.5000, 0.5000, 0.0000)
Te (0.0000, 0.5000, 0.5000)
Te (0.5000, 0.0000, 0.5000)

Run ii
Compound: BaSiSbTe2
Source: Alexandria
Functional: PBE
Structure: optimized geometry

SG = No. 123

a = 6.4370 Å, b = 6.4370 Å, c = 6.4033 Å
α = 90.00°, β = 90.00°, γ = 90.00°
Fractional positions:
Ba (0.0000, 0.0000, 0.0000)
Si (0.5000, 0.5000, 0.5000)
Sb (0.0000, 0.0000, 0.5000)
Te (0.0000, 0.5000, 0.0000)
Te (0.5000, 0.0000, 0.0000)

Most stable to least stable, the ends of the list are run i and run ii.

Run i
Compound: BaSnSb3
Source: Alexandria
Functional: PBE
Structure: optimized geometry

SG = No. 221

a = 5.7413 Å, b = 5.7413 Å, c = 5.7413 Å
α = 90.00°, β = 90.00°, γ = 90.00°
Fractional positions:
Ba (0.0000, 0.0000, 0.0000)
Sn (0.5000, 0.5000, 0.5000)
Sb (0.0000, 0.5000, 0.5000)
Sb (0.5000, 0.0000, 0.5000)
Sb (0.5000, 0.5000, 0.0000)

Run ii
Compound: BaSnSb3
Source: Alexandria
Functional: PBE
Structure: optimized geometry

SG = No. 221

a = 6.1242 Å, b = 6.1242 Å, c = 6.1242 Å
α = 90.00°, β = 90.00°, γ = 90.00°
Fractional positions:
Ba (0.0000, 0.0000, 0.0000)
Sn (0.5000, 0.5000, 0.5000)
Sb (0.0000, 0.0000, 0.5000)
Sb (0.0000, 0.5000, 0.0000)
Sb (0.5000, 0.0000, 0.0000)

Most stable to least stable, the ends of the list are run i and run ii.

Run i
Compound: Ba2SnSb3
Source: Alexandria
Functional: PBE
Structure: optimized geometry

SG = No. 15

a = 9.2587 Å, b = 9.2587 Å, c = 7.3549 Å
α = 101.18°, β = 101.18°, γ = 46.29°
Fractional positions:
Ba (0.0771, 0.2613, 0.0805)
Ba (0.2613, 0.0771, 0.5805)
Ba (0.7387, 0.9229, 0.4195)
Ba (0.9229, 0.7387, 0.9195)
Sn (0.4067, 0.5933, 0.7500)
Sn (0.5933, 0.4067, 0.2500)
Sb (0.0049, 0.9951, 0.7500)
Sb (0.2913, 0.4249, 0.3977)
Sb (0.4249, 0.2913, 0.8977)
Sb (0.5751, 0.7087, 0.1023)
Sb (0.7087, 0.5751, 0.6023)
Sb (0.9951, 0.0049, 0.2500)

Run ii
Compound: Ba2SnSb3
Source: Alexandria
Functional: PBE
Structure: optimized geometry

SG = No. 62

a = 8.4646 Å, b = 5.1805 Å, c = 20.2078 Å
α = 90.00°, β = 90.00°, γ = 90.00°
Fractional positions:
Ba (0.1122, 0.2500, 0.0885)
Ba (0.1215, 0.2500, 0.2978)
Ba (0.3785, 0.7500, 0.7978)
Ba (0.3878, 0.7500, 0.5885)
Ba (0.6122, 0.2500, 0.4115)
Ba (0.6215, 0.2500, 0.2022)
Ba (0.8785, 0.7500, 0.7022)
Ba (0.8878, 0.7500, 0.9115)
Sn (0.0762, 0.7500, 0.4334)
Sn (0.4238, 0.2500, 0.9334)
Sn (0.5762, 0.7500, 0.0666)
Sn (0.9238, 0.2500, 0.5666)
Sb (0.0835, 0.2500, 0.8127)
Sb (0.1899, 0.2500, 0.6774)
Sb (0.2166, 0.2500, 0.4806)
Sb (0.2834, 0.7500, 0.9806)
Sb (0.3101, 0.7500, 0.1774)
Sb (0.4165, 0.7500, 0.3127)
Sb (0.5835, 0.2500, 0.6873)
Sb (0.6899, 0.2500, 0.8226)
Sb (0.7166, 0.2500, 0.0194)
Sb (0.7834, 0.7500, 0.5194)
Sb (0.8101, 0.7500, 0.3226)
Sb (0.9165, 0.7500, 0.1873)

Most stable to least stable, the ends of the list are run ii and run i.

Run i
Compound: Ba2SnSb
Source: Alexandria
Functional: PBE
Structure: optimized geometry

SG = No. 11

a = 6.9449 Å, b = 4.6538 Å, c = 10.2535 Å
α = 90.00°, β = 106.13°, γ = 90.00°
Fractional positions:
Ba (0.2017, 0.2500, 0.4294)
Ba (0.2926, 0.7500, 0.0671)
Ba (0.7074, 0.2500, 0.9329)
Ba (0.7983, 0.7500, 0.5706)
Sn (0.3695, 0.7500, 0.7094)
Sn (0.6305, 0.2500, 0.2906)
Sb (0.1362, 0.2500, 0.7901)
Sb (0.8638, 0.7500, 0.2099)

Run ii
Compound: Ba2SnSb
Source: Alexandria
Functional: PBE
Structure: optimized geometry

SG = No. 122

a = 7.6163 Å, b = 7.6163 Å, c = 7.6163 Å
α = 103.28°, β = 103.28°, γ = 122.72°
Fractional positions:
Ba (0.1130, 0.6250, 0.9880)
Ba (0.3750, 0.3630, 0.4880)
Ba (0.6370, 0.1250, 0.0120)
Ba (0.8750, 0.8870, 0.5120)
Sn (0.2500, 0.7500, 0.5000)
Sn (0.5000, 0.5000, 0.0000)
Sb (0.0000, 0.0000, 0.0000)
Sb (0.7500, 0.2500, 0.5000)

Run iii
Compound: Ba2SnSb
Source: Alexandria
Functional: PBE
Structure: optimized geometry

SG = No. 225

a = 6.0192 Å, b = 6.0192 Å, c = 6.0192 Å
α = 60.00°, β = 60.00°, γ = 60.00°
Fractional positions:
Ba (0.2500, 0.2500, 0.2500)
Ba (0.7500, 0.7500, 0.7500)
Sn (0.0000, 0.0000, 0.0000)
Sb (0.5000, 0.5000, 0.5000)

Most stable to least stable, the ends of the list are run i and run ii.

Run i
Compound: BaSnSb
Source: Alexandria
Functional: PBE
Structure: optimized geometry

SG = No. 156

a = 5.1933 Å, b = 5.1933 Å, c = 4.7968 Å
α = 90.00°, β = 90.00°, γ = 120.00°
Fractional positions:
Ba (0.0000, 0.0000, 0.0000)
Sn (0.3333, 0.6667, 0.4990)
Sb (0.6667, 0.3333, 0.5009)

Run ii
Compound: BaSnSb
Source: Alexandria
Functional: PBE
Structure: optimized geometry

SG = No. 71

a = 7.0787 Å, b = 7.0787 Å, c = 7.0787 Å
α = 137.19°, β = 100.64°, γ = 94.69°
Fractional positions:
Ba (0.2448, 0.2448, 0.0000)
Ba (0.7552, 0.7552, 0.0000)
Sn (0.3372, 0.0000, 0.3372)
Sn (0.6628, 0.0000, 0.6628)
Sb (0.1711, 0.5000, 0.6711)
Sb (0.8289, 0.5000, 0.3289)

Run iii
Compound: BaSnSb
Source: Alexandria
Functional: PBE
Structure: optimized geometry

SG = No. 14

a = 7.1586 Å, b = 7.0900 Å, c = 11.0563 Å
α = 90.00°, β = 123.88°, γ = 90.00°
Fractional positions:
Ba (0.1177, 0.2273, 0.4335)
Ba (0.1177, 0.2727, 0.9335)
Ba (0.8823, 0.7273, 0.0665)
Ba (0.8823, 0.7727, 0.5665)
Sn (0.3029, 0.7376, 0.4581)
Sn (0.3029, 0.7624, 0.9581)
Sn (0.6971, 0.2376, 0.0419)
Sn (0.6971, 0.2624, 0.5419)
Sb (0.4021, 0.0170, 0.7910)
Sb (0.4021, 0.4830, 0.2910)
Sb (0.5979, 0.5170, 0.7090)
Sb (0.5979, 0.9830, 0.2090)

Run iv
Compound: BaSnSb
Source: Alexandria
Functional: PBE
Structure: optimized geometry

SG = No. 70

a = 10.8165 Å, b = 9.5487 Å, c = 7.7243 Å
α = 76.74°, β = 59.23°, γ = 44.03°
Fractional positions:
Ba (0.0666, 0.0666, 0.6834)
Ba (0.3166, 0.3166, 0.9334)
Ba (0.6834, 0.6834, 0.0666)
Ba (0.9334, 0.9334, 0.3166)
Sn (0.0000, 0.5000, 0.5000)
Sn (0.5000, 0.0000, 0.5000)
Sn (0.5000, 0.5000, 0.0000)
Sn (0.5000, 0.5000, 0.5000)
Sb (0.0520, 0.6980, 0.6980)
Sb (0.3020, 0.9480, 0.9480)
Sb (0.6980, 0.0520, 0.0520)
Sb (0.9480, 0.3020, 0.3020)

Most stable to least stable, the ends of the list are run i and run iv.